1.
Density functional theory data (PBE) for a geometry-optimized Pu8Ga2Ge structure.

a = 8.463 Å, b = 8.463 Å, c = 8.463 Å
α = 151.82°, β = 121.37°, γ = 66.29°
Fractional coordinates of all 11 atoms:
1 Pu 0.081 0.338 0.742
2 Pu 0.160 0.160 0.000
3 Pu 0.289 0.000 0.289
4 Pu 0.404 0.662 0.742
5 Pu 0.596 0.338 0.258
6 Pu 0.711 0.000 0.711
7 Pu 0.840 0.840 0.000
8 Pu 0.919 0.662 0.258
9 Ga 0.323 0.823 0.500
10 Ga 0.677 0.177 0.500
11 Ge 0.000 0.500 0.500

Summary:
**D(E_F)**: 4.115 states/eV/atom
**Energy relative to the elements**: -0.070 eV per atom
**Calculated density**: 14852 kg/m3
**Space group**: Immm, No. 71
**Magnetization**: 0.08 μB/atom

=====

2.
Density functional theory data (PBE) for a geometry-optimized Cs2PuU2Te6 structure.

a = 7.778 Å, b = 7.778 Å, c = 9.523 Å
α = 97.72°, β = 97.72°, γ = 120.11°
Fractional coordinates of all 11 atoms:
1 Cs 0.165 0.835 0.000
2 Cs 0.835 0.165 0.000
3 Pu 0.000 0.000 0.500
4 U 0.333 0.667 0.500
5 U 0.667 0.333 0.500
6 Te 0.063 0.402 0.689
7 Te 0.279 0.279 0.311
8 Te 0.402 0.063 0.689
9 Te 0.598 0.937 0.311
10 Te 0.721 0.721 0.689
11 Te 0.937 0.598 0.311

Summary:
**D(E_F)**: 2.561 states/eV/atom
**Calculated density**: 6059 kg/m3
**Space group**: C2/m, No. 12
**Magnetization**: 0.91 μB/atom
**E_form (uncorrected)**: -917 meV/atom

=====

3.
Density functional theory data (PBE) for a geometry-optimized Ba2ZnInF structure.

a = 5.643 Å, b = 5.643 Å, c = 4.965 Å
α = 90.00°, β = 90.00°, γ = 90.00°
Fractional coordinates of all 5 atoms:
1 Ba 0.000 0.500 0.000
2 Ba 0.500 0.000 0.000
3 Zn 0.000 0.000 0.500
4 In 0.500 0.500 0.500
5 F 0.500 0.500 0.000

Summary:
**D(E_F)**: 0.579 states/eV/atom
**Calculated density**: 4976 kg/m3
**Space group**: P4/mmm, No. 123
**Magnetization**: 0.00 μB/atom
**E_form (uncorrected)**: -1029 meV/atom

=====

4.
Density functional theory data (PBE) for a geometry-optimized Pm3Tm2Ir2 structure.

a = 6.397 Å, b = 6.397 Å, c = 8.751 Å
α = 113.24°, β = 113.24°, γ = 35.73°
Fractional coordinates of all 7 atoms:
1 Pm 0.000 0.000 0.000
2 Pm 0.117 0.117 0.429
3 Pm 0.883 0.883 0.571
4 Tm 0.329 0.329 0.185
5 Tm 0.671 0.671 0.815
6 Ir 0.315 0.315 0.769
7 Ir 0.685 0.685 0.231

Summary:
**D(E_F)**: 0.754 states/eV/atom
**Energy relative to the elements**: -0.562 eV per atom
**Calculated density**: 10099 kg/m3
**Space group**: C2/m, No. 12
**Magnetization**: 0.00 μB/atom

=====

5.
Density functional theory data (PBE) for a geometry-optimized Y2WCl structure.

a = 3.151 Å, b = 3.151 Å, c = 11.010 Å
α = 90.00°, β = 90.00°, γ = 90.00°
Fractional coordinates of all 4 atoms:
1 Y 0.000 0.000 0.000
2 Y 0.500 0.500 0.284
3 W 0.500 0.500 0.808
4 Cl 0.000 0.000 0.437

Summary:
**D(E_F)**: 1.104 states/eV/atom
**Calculated density**: 6033 kg/m3
**Space group**: P4mm, No. 99
**E above lowest polymorph**: 58.0 kJ per mole of atoms
**Magnetization**: 0.08 μB/atom
**E_form (uncorrected)**: 222 meV/atom

=====

6.
Density functional theory data (PBE) for a geometry-optimized ThBe2AlAu4 structure.

a = 9.414 Å, b = 9.414 Å, c = 9.414 Å
α = 26.13°, β = 26.13°, γ = 26.13°
Fractional coordinates of all 8 atoms:
1 Th 0.000 0.000 0.000
2 Be 0.235 0.235 0.235
3 Be 0.765 0.765 0.765
4 Al 0.500 0.500 0.500
5 Au 0.128 0.128 0.128
6 Au 0.400 0.400 0.400
7 Au 0.600 0.600 0.600
8 Au 0.872 0.872 0.872

Summary:
**D(E_F)**: 0.521 states/eV/atom
**Energy relative to the elements**: -0.330 eV per atom
**Calculated density**: 12404 kg/m3
**Space group**: R-3m, No. 166
**Magnetization**: 0.00 μB/atom

=====

7.
Density functional theory data (PBE) for a geometry-optimized Na3HfMg2Te6 structure.

a = 7.278 Å, b = 7.278 Å, c = 8.056 Å
α = 98.68°, β = 98.68°, γ = 120.05°
Fractional coordinates of all 12 atoms:
1 Na 0.000 0.000 0.000
2 Na 0.333 0.667 0.000
3 Na 0.667 0.333 0.000
4 Hf 0.500 0.500 0.500
5 Mg 0.166 0.834 0.500
6 Mg 0.834 0.166 0.500
7 Te 0.100 0.427 0.281
8 Te 0.247 0.247 0.719
9 Te 0.427 0.100 0.281
10 Te 0.573 0.900 0.719
11 Te 0.753 0.753 0.281
12 Te 0.900 0.573 0.719

Summary:
**D(E_F)**: 0.479 states/eV/atom
**Calculated density**: 5007 kg/m3
**Space group**: C2/m, No. 12
**Magnetization**: 0.00 μB/atom
**E_form (uncorrected)**: -823 meV/atom

=====

8.
Density functional theory data (PBE) for a geometry-optimized Li3Cd6In structure.

a = 8.142 Å, b = 4.972 Å, c = 10.748 Å
α = 90.00°, β = 109.06°, γ = 90.00°
Fractional coordinates of all 20 atoms:
1 Li 0.090 0.250 0.229
2 Li 0.300 0.250 0.032
3 Li 0.300 0.750 0.367
4 Li 0.700 0.250 0.633
5 Li 0.700 0.750 0.968
6 Li 0.910 0.750 0.771
7 Cd 0.096 0.250 0.747
8 Cd 0.098 0.750 0.065
9 Cd 0.309 0.750 0.876
10 Cd 0.310 0.250 0.526
11 Cd 0.479 0.250 0.325
12 Cd 0.493 0.750 0.170
13 Cd 0.507 0.250 0.830
14 Cd 0.521 0.750 0.675
15 Cd 0.690 0.750 0.474
16 Cd 0.691 0.250 0.124
17 Cd 0.902 0.250 0.935
18 Cd 0.904 0.750 0.253
19 In 0.107 0.750 0.571
20 In 0.893 0.250 0.429

Summary:
**D(E_F)**: 0.347 states/eV/atom
**Energy relative to the elements**: -0.177 eV per atom
**Calculated density**: 6543 kg/m3
**Space group**: P2_1/m, No. 11
**Magnetization**: 0.00 μB/atom

=====

- What is the formula in the first record?
  Pu8Ga2Ge

=====

- D(E_F) of number 8 (Li3Cd6In)?
  0.347 states/eV/atom

=====

- Which of these has the lowest calculated density?
  Ba2ZnInF

=====

- Number 7 is which compound?
  Na3HfMg2Te6